Entry 1:
A relaxed Ge2P2S7 crystal, computed with GGA-PBE.

## Properties
formation energy without anion corrections	0.8	eV/f.u.
density	2.3	Mg/m³

Lattice parameters (Å, degrees): 6.481 6.481 7.688 90.42 90.42 99.39
Positions (direct):
Ge: 0.200 0.200 0.190
Ge: 0.800 0.800 0.810
P: 0.348 0.652 0.500
P: 0.652 0.348 0.500
S: 0.000 0.000 0.000
S: 0.089 0.476 0.266
S: 0.374 0.374 0.643
S: 0.476 0.089 0.266
S: 0.524 0.911 0.734
S: 0.626 0.626 0.357
S: 0.911 0.524 0.734

Entry 2:
A relaxed LaPr2Y5 crystal, computed with GGA-PBE.

## Properties
E_form	0.47	kcal/mol of atoms
density	5.3	Mg/m³
polymorph energy (0 for the lowest one)	9	meV per atom

Lattice parameters (Å, degrees): 7.247 14.517 5.143 90.00 90.00 90.00
Positions (direct):
La: 0.000 0.000 0.000
La: 0.500 0.500 0.000
Pr: 0.247 0.374 0.500
Pr: 0.253 0.874 0.500
Pr: 0.747 0.126 0.500
Pr: 0.753 0.626 0.500
Y: 0.000 0.500 0.000
Y: 0.004 0.748 0.000
Y: 0.247 0.126 0.500
Y: 0.253 0.626 0.500
Y: 0.496 0.248 0.000
Y: 0.500 0.000 0.000
Y: 0.504 0.752 0.000
Y: 0.747 0.374 0.500
Y: 0.753 0.874 0.500
Y: 0.996 0.252 0.000

Entry 3:
A relaxed SiTcPt2 crystal, computed with GGA-PBE.

## Properties
formation energy without anion corrections	-1.1	eV/f.u.
density	14.5	Mg/m³

Lattice parameters (Å, degrees): 2.819 4.346 9.684 90.00 90.00 90.00
Positions (direct):
Si: 0.000 0.000 0.000
Si: 0.500 0.500 0.500
Tc: 0.000 0.500 0.703
Tc: 0.500 0.000 0.203
Pt: 0.000 0.000 0.490
Pt: 0.000 0.500 0.293
Pt: 0.500 0.000 0.793
Pt: 0.500 0.500 0.990